Crystalline CuBr at its relaxed geometry, computed with PBE.

a b c (Å): 6.826 6.826 4.104
angles (deg): 90.00 90.00 90.00
Space group P4_2/mnm (No. 136)
Asymmetric unit:
Cu: 0.134 0.134 0.000 x4
Br: 0.221 0.779 0.000 x4

Calculated values
Uncorrected energy (eV/atom): -3.111
Raw formation energy (eV per atom): -0.2262